# 1
VASP calculation (PBE) on a relaxed structure of Mn2V4Ge.

The structure in POSCAR format:
```
Mn2V4Ge
1.0
-4.261 1.280 0.473
-0.944 -3.884 2.010
-1.297 1.102 6.500
Ge Mn V
1 2 4
direct
0.000 0.000 0.000
0.383 0.383 0.233
0.617 0.617 0.767
0.205 0.205 0.591
0.795 0.795 0.409
0.000 0.500 0.000
0.500 0.000 0.000
```

The value obtained for the formation energy is 908 meV/atom.

# 2
VASP calculation (PBE) on a relaxed structure of Ti2Pd3Pt.

The structure in POSCAR format:
```
Ti2Pd3Pt
1.0
3.940 0.000 0.000
0.000 7.849 0.000
-1.970 -3.924 5.985
Ti Pd Pt
4 6 2
direct
0.342 0.342 0.684
0.658 0.158 0.316
0.342 0.842 0.684
0.658 0.658 0.316
0.500 0.250 0.000
0.500 0.750 0.000
0.830 0.080 0.660
0.170 0.420 0.340
0.170 0.920 0.340
0.830 0.580 0.660
0.000 0.500 0.000
0.000 0.000 0.000
```

The value obtained for the formation energy is -653 meV/atom.

# 3
VASP calculation (PBE) on a relaxed structure of Dy2Mg9Sc.

The structure in POSCAR format:
```
Dy2Mg9Sc
1.0
-2.982 3.477 0.684
-1.188 -1.823 4.088
9.907 7.291 6.132
Dy Mg Sc
2 9 1
direct
0.000 0.000 0.329
0.000 0.000 0.671
0.500 0.500 0.000
0.500 0.500 0.330
0.500 0.500 0.670
0.500 0.000 0.160
0.500 0.000 0.500
0.500 0.000 0.840
0.000 0.500 0.160
0.000 0.500 0.500
0.000 0.500 0.840
0.000 0.000 0.000
```

The value obtained for the formation energy is -53 meV/atom.

# 4
VASP calculation (PBE) on a relaxed structure of CuCl3F.

The structure in POSCAR format:
```
CuCl3F
1.0
4.645 0.000 0.000
0.000 4.645 0.000
0.000 0.000 4.645
F Cu Cl
1 1 3
direct
0.000 0.000 0.000
0.500 0.500 0.500
0.000 0.500 0.000
0.000 0.000 0.500
0.500 0.000 0.000
```

As for the formation energy from raw total energies: 0.547 eV per atom.